Entry 1:
The following is a DFT calculation (PBE) of a geometry-optimized NiPt structure.

ΔH_f (0 K), kJ per mole of atoms: -1.4

Cell: 2.7175 4.4301 8.9591 Å, 90.00 90.00 90.00°
With the nearest neighbours (Å) after each atom.
Space group Imma (No. 74)
Unique sites:
Ni: 0.0000 0.2500 0.1359 (multiplicity 4)  4 Ni 2.46-2.72, 6 Pt 2.61-2.62
Pt: 0.0000 0.2500 0.6142 (multiplicity 4)  6 Ni 2.61-2.62, 4 Pt 2.72-2.79

***

Entry 2:
The following is a DFT calculation (PBE) of a geometry-optimized NiPt2 structure.

ΔH_f (0 K), kJ per mole of atoms: -4.6

Cell: 7.6135 2.7400 8.2291 Å, 90.00 90.01 90.00°
With the nearest neighbours (Å) after each atom.
Space group P2_1/m (No. 11)
Unique sites:
Ni: 0.1102 0.2500 0.4218 (multiplicity 2)  7 Ni 2.52-2.74, 5 Pt 2.67-2.76
Ni: 0.1172 0.2500 0.7374 (multiplicity 2)  5 Ni 2.57-2.74, 6 Pt 2.60-2.73
Pt: 0.1116 0.2500 0.0972 (multiplicity 2)  3 Ni 2.60-2.67, 8 Pt 2.71-2.79
Pt: 0.3557 0.7500 0.5822 (multiplicity 2)  4 Ni 2.61-2.67, 8 Pt 2.68-2.92
Pt: 0.3617 0.7500 0.9137 (multiplicity 2)  10 Pt 2.73-2.89, 2 Ni 2.73
Pt: 0.3702 0.7500 0.2566 (multiplicity 2)  10 Pt 2.68-2.83, 2 Ni 2.76

***

Entry 3:
The following is a DFT calculation (PBE) of a geometry-optimized NiPt structure.

ΔH_f (0 K), kJ per mole of atoms: -3.0

Cell: 6.5054 2.7121 9.2311 Å, 90.00 90.38 90.00°
With the nearest neighbours (Å) after each atom.
Space group Pm (No. 6)
Unique sites:
Ni: 0.0000 0.0000 0.0000 (multiplicity 1)  6 Ni 2.55-2.71, 4 Pt 2.61-2.70
Ni: 0.0047 0.5000 0.7664 (multiplicity 1)  10 Ni 2.51-2.71, 2 Pt 2.65
Ni: 0.0223 0.0000 0.5376 (multiplicity 1)  7 Ni 2.51-2.71, 5 Pt 2.63-2.80
Ni: 0.3438 0.5000 0.6036 (multiplicity 1)  5 Pt 2.53-2.64, 7 Ni 2.56-2.79
Ni: 0.6837 0.5000 0.9232 (multiplicity 1)  7 Ni 2.48-2.71, 5 Pt 2.66-2.77
Ni: 0.6942 0.0000 0.6986 (multiplicity 1)  7 Ni 2.48-2.71, 3 Pt 2.59-2.62
Pt: 0.0107 0.5000 0.2726 (multiplicity 1)  8 Pt 2.69-2.72, 4 Ni 2.80-2.86
Pt: 0.3321 0.5000 0.0909 (multiplicity 1)  3 Ni 2.68-2.77, 9 Pt 2.69-2.87
Pt: 0.3413 0.0000 0.8347 (multiplicity 1)  8 Ni 2.53-2.73, 4 Pt 2.71-2.73
Pt: 0.3490 0.0000 0.3651 (multiplicity 1)  3 Ni 2.59-2.66, 9 Pt 2.71-2.87
Pt: 0.6823 0.0000 0.1705 (multiplicity 1)  3 Ni 2.61-2.66, 7 Pt 2.70-2.83
Pt: 0.6933 0.5000 0.4600 (multiplicity 1)  5 Ni 2.59-2.64, 5 Pt 2.70-2.76

***

Entry 4:
The following is a DFT calculation (PBE) of a geometry-optimized Ni4Pt5 structure.

ΔH_f (0 K), kJ per mole of atoms: 3.8
Distance to the lowest polymorph of the same formula, meV per atom: 112

Cell: 7.4382 7.4382 5.2489 Å, 90.00 90.00 120.00°
With the nearest neighbours (Å) after each atom.
Space group P6_3/mcm (No. 193)
Unique sites:
Ni: 0.0000 0.0000 0.0000 (multiplicity 2)  8 Ni 2.62-2.90, 6 Pt 2.67
Ni: 0.0000 0.3471 0.2500 (multiplicity 6)  5 Pt 2.46-2.64
Pt: 0.0000 0.3129 0.7500 (multiplicity 6)  7 Ni 2.46-2.67
Pt: 0.3333 0.6667 0.0000 (multiplicity 4)  8 Pt 2.62-2.88, 6 Ni 2.76

***

Entry 5:
The following is a DFT calculation (PBE) of a geometry-optimized Ni7Pt5 structure.

ΔH_f (0 K), kJ per mole of atoms: -5.1
Distance to the lowest polymorph of the same formula, meV per atom: 15

Cell: 13.5523 2.6879 9.8386 Å, 90.00 118.28 90.00°
With the nearest neighbours (Å) after each atom.
Space group C2/m (No. 12)
Unique sites:
Ni: 0.0000 0.0000 0.0000 (multiplicity 2)  6 Pt 2.57-2.67, 6 Ni 2.69-2.72
Ni: 0.0302 0.5000 0.2571 (multiplicity 4)  4 Pt 2.56-2.62, 8 Ni 2.58-2.72
Ni: 0.1342 0.0000 0.7467 (multiplicity 4)  5 Ni 2.59-2.69, 7 Pt 2.61-2.77
Ni: 0.1663 0.0000 0.4968 (multiplicity 4)  5 Pt 2.57-2.64, 7 Ni 2.58-2.69
Pt: 0.0000 0.5000 0.5000 (multiplicity 2)  10 Ni 2.61-2.64, 2 Pt 2.69
Pt: 0.1585 0.5000 0.9908 (multiplicity 4)  6 Ni 2.56-2.77, 6 Pt 2.69-2.78
Pt: 0.1968 0.0000 0.2584 (multiplicity 4)  8 Ni 2.57-2.68, 4 Pt 2.69-2.78

***

Entry 6:
The following is a DFT calculation (PBE) of a geometry-optimized Ni3Pt2 structure.

ΔH_f (0 K), kJ per mole of atoms: -0.6
Distance to the lowest polymorph of the same formula, meV per atom: 47

Cell: 4.5836 2.6828 10.7841 Å, 90.00 97.56 90.00°
With the nearest neighbours (Å) after each atom.
Space group P2_1/m (No. 11)
Unique sites:
Ni: 0.0488 0.2500 0.4104 (multiplicity 2)  10 Ni 2.44-2.70, 2 Pt 2.57
Ni: 0.3436 0.7500 0.7841 (multiplicity 2)  5 Ni 2.56-2.68, 7 Pt 2.65-2.82
Ni: 0.4397 0.2500 0.5915 (multiplicity 2)  11 Ni 2.47-2.70, 1 Pt 2.56
Pt: 0.1596 0.7500 0.2191 (multiplicity 2)  7 Ni 2.56-2.66, 5 Pt 2.68-2.84
Pt: 0.2511 0.2500 0.9954 (multiplicity 2)  9 Pt 2.64-2.84, 3 Ni 2.73-2.82

***

Entry 7:
The following is a DFT calculation (PBE) of a geometry-optimized Ni3Pt4 structure.

ΔH_f (0 K), kJ per mole of atoms: -6.1
Distance to the lowest polymorph of the same formula, meV per atom: 0

Cell: 7.1395 7.1395 6.5997 Å, 90.00 90.00 120.00°
With the nearest neighbours (Å) after each atom.
Space group R3 (No. 146, hexagonal axes)
Unique sites:
Ni: 0.1430 0.4302 0.0000 (multiplicity 9)  8 Pt 2.61-2.73, 4 Ni 2.68-2.70
Pt: 0.0000 0.0000 0.0144 (multiplicity 3)  6 Ni 2.61-2.71, 6 Pt 2.70-2.81
Pt: 0.0482 0.8090 0.6614 (multiplicity 9)  6 Ni 2.66-2.73, 6 Pt 2.69-2.81

***

Entry 8:
The following is a DFT calculation (PBE) of a geometry-optimized Ni4Pt structure.

ΔH_f (0 K), kJ per mole of atoms: 27.7
Distance to the lowest polymorph of the same formula, meV per atom: 342

Cell: 3.3633 3.3633 11.2800 Å, 90.00 90.00 90.00°
With the nearest neighbours (Å) after each atom.
Space group I4/mmm (No. 139)
Unique sites:
Ni: 0.0000 0.0000 0.1012 (multiplicity 4)  5 Ni 2.28-2.38
Ni: 0.0000 0.5000 0.2500 (multiplicity 4)  8 Ni 2.38
Pt: 0.0000 0.0000 0.5000 (multiplicity 2)  8 Ni 2.64

***

Entry 9:
The following is a DFT calculation (PBE) of a geometry-optimized NiPt structure.

ΔH_f (0 K), kJ per mole of atoms: -2.9

Cell: 2.6975 3.6387 16.5219 Å, 90.00 90.00 90.00°
With the nearest neighbours (Å) after each atom.
Space group Pmmm (No. 47)
Unique sites:
Ni: 0.0000 0.0000 0.0804 (multiplicity 2)  8 Ni 2.43-2.70, 4 Pt 2.63
Ni: 0.0000 0.0000 0.2278 (multiplicity 2)  7 Ni 2.43-2.70, 4 Pt 2.62
Ni: 0.5000 0.5000 0.1542 (multiplicity 2)  2 Pt 2.54-2.55, 10 Ni 2.57-2.70
Pt: 0.0000 0.0000 0.4036 (multiplicity 2)  10 Pt 2.70-2.77, 1 Ni 2.90
Pt: 0.5000 0.5000 0.0000 (multiplicity 1)  10 Ni 2.55-2.63, 2 Pt 2.70
Pt: 0.5000 0.5000 0.3077 (multiplicity 2)  5 Ni 2.54-2.62, 6 Pt 2.70-2.76
Pt: 0.5000 0.5000 0.5000 (multiplicity 1)  10 Pt 2.70-2.77

***

Entry 10:
The following is a DFT calculation (PBE) of a geometry-optimized NiPt structure.

ΔH_f (0 K), kJ per mole of atoms: 10.4

Cell: 4.0841 4.0841 7.8920 Å, 90.00 90.00 120.00°
With the nearest neighbours (Å) after each atom.
Space group P6_3/mmc (No. 194)
Unique sites:
Ni: 0.0000 0.0000 0.2500 (multiplicity 2)  3 Ni 2.36
Ni: 0.3333 0.6667 0.2500 (multiplicity 2)  3 Ni 2.36, 2 Pt 2.63
Pt: 0.3333 0.6667 0.5832 (multiplicity 4)  7 Ni 2.63-2.70, 4 Pt 2.63-2.70

***

Entry 11:
The following is a DFT calculation (PBE) of a geometry-optimized Ni5Pt7 structure.

ΔH_f (0 K), kJ per mole of atoms: -3.5
Distance to the lowest polymorph of the same formula, meV per atom: 29

Cell: 2.7262 7.6219 8.0873 Å, 90.00 90.00 90.00°
With the nearest neighbours (Å) after each atom.
Space group Pmmm (No. 47)
Unique sites:
Ni: 0.0000 0.0000 0.0000 (multiplicity 1)  2 Ni 2.73, 10 Pt 2.73-2.76
Ni: 0.0000 0.5000 0.3481 (multiplicity 2)  7 Ni 2.46-2.73, 4 Pt 2.71
Ni: 0.5000 0.2624 0.5000 (multiplicity 2)  6 Ni 2.58-2.73, 6 Pt 2.62-2.75
Pt: 0.0000 0.0000 0.3376 (multiplicity 2)  7 Pt 2.63-2.73, 5 Ni 2.73-2.75
Pt: 0.0000 0.5000 0.0000 (multiplicity 1)  10 Pt 2.72-2.73, 2 Ni 2.81
Pt: 0.5000 0.2541 0.1755 (multiplicity 4)  5 Ni 2.62-2.76, 7 Pt 2.71-2.84

***

Entry 12:
The following is a DFT calculation (PBE) of a geometry-optimized Ni7Pt5 structure.

ΔH_f (0 K), kJ per mole of atoms: -5.1
Distance to the lowest polymorph of the same formula, meV per atom: 16

Cell: 7.5229 7.6110 5.8220 Å, 90.00 108.99 90.00°
With the nearest neighbours (Å) after each atom.
Space group C2/m (No. 12)
Unique sites:
Ni: 0.0000 0.0000 0.0000 (multiplicity 2)  6 Ni 2.58-2.64, 6 Pt 2.60-2.68
Ni: 0.0819 0.2456 0.3394 (multiplicity 8)  6 Ni 2.55-2.77, 6 Pt 2.59-2.76
Ni: 0.1554 0.0000 0.6642 (multiplicity 4)  8 Ni 2.49-2.77, 4 Pt 2.55-2.69
Pt: 0.0000 0.5000 0.0000 (multiplicity 2)  6 Pt 2.68-2.76, 6 Ni 2.69
Pt: 0.1772 0.5000 0.6532 (multiplicity 4)  8 Ni 2.55-2.76, 4 Pt 2.68-2.76
Pt: 0.2500 0.2500 0.0000 (multiplicity 4)  8 Ni 2.63-2.68, 4 Pt 2.68-2.70

***

> Which of these has the lowest ΔH_f (0 K)?

Ni3Pt4

***

> Which value of ΔH_f (0 K) does entry 5 give?

-5.1 kJ per mole of atoms